Entry 1:
Density functional theory data (GGA-PBE) for an optimized crystal structure of Rb2MoRhBr6.

Output
The calculation puts the raw formation energy at -750 kJ/mol of formula units. Its volume is 305.1 Å³/cell. The total DFT energy (no corrections) is -3.79 eV/atom.

abc: 7.562 7.562 7.562
angles: 120.14 120.14 89.76
Fractional coordinates of all 10 atoms:
Rb 0.250 0.750 0.500
Rb 0.750 0.250 0.500
Mo 0.000 0.000 0.000
Rh 0.500 0.500 0.000
Br 0.247 0.247 0.000
Br 0.249 0.249 0.497
Br 0.249 0.751 0.000
Br 0.751 0.249 0.000
Br 0.751 0.751 0.503
Br 0.753 0.753 0.000

---

Entry 2:
Density functional theory data (GGA-PBE) for an optimized crystal structure of Hf5ZnRu4.

Output
The calculation puts the formation energy from the elements at -0.686 eV per atom. Its volume is 172.6 Å³/cell. The total DFT energy (no corrections) is -9.50 eV/atom.

abc: 3.246 3.246 16.389
angles: 90.00 90.00 90.00
Fractional coordinates of all 10 atoms:
Hf 0.000 0.000 0.000
Hf 0.000 0.000 0.198
Hf 0.000 0.000 0.396
Hf 0.000 0.000 0.604
Hf 0.000 0.000 0.802
Zn 0.500 0.500 0.500
Ru 0.500 0.500 0.099
Ru 0.500 0.500 0.298
Ru 0.500 0.500 0.702
Ru 0.500 0.500 0.901